Entry 1:
A plane-wave DFT calculation with PBE-GGA was carried out for crystalline LiBi3Rh at its relaxed geometry.

Computed properties:
space group: Pm-3m, No. 221
calculated density: 7872 kg/m3
energy above the most stable polymorph in this dataset: 343 meV/atom
energy of formation from the pure elements: 79 kJ/mol of formula units
raw total energy: -20.09 eV per cell

abc: 5.376 5.376 5.376
angles: 90.00 90.00 90.00
Fractional positions:
Bi 0.000 0.000 0.500
Bi 0.500 0.000 0.000
Bi 0.000 0.500 0.000
Rh 0.000 0.000 0.000
Li 0.500 0.500 0.500

Entry 2:
A plane-wave DFT calculation with PBE-GGA was carried out for crystalline LiScBiRh at its relaxed geometry.

Computed properties:
space group: F-43m, No. 216
calculated density: 8462 kg/m3
energy of formation from the pure elements: -249 kJ/mol of formula units
raw total energy: -22.06 eV per cell

abc: 4.656 4.656 4.656
angles: 60.00 60.00 60.00
Fractional positions:
Sc 0.000 0.000 0.000
Bi 0.500 0.500 0.500
Li 0.750 0.750 0.750
Rh 0.250 0.250 0.250

Entry 3:
A plane-wave DFT calculation with PBE-GGA was carried out for crystalline LiSmBiRh at its relaxed geometry.

Computed properties:
space group: F-43m, No. 216
calculated density: 9687 kg/m3
energy of formation from the pure elements: -255 kJ/mol of formula units
raw total energy: -20.50 eV per cell

abc: 4.845 4.845 4.845
angles: 60.00 60.00 60.00
Fractional positions:
Bi 0.250 0.250 0.250
Rh 0.500 0.500 0.500
Sm 0.750 0.750 0.750
Li 0.000 0.000 0.000